Record 1
# KVTc2H, relaxed, DFT PBE
data_KVTc2H
_chemical_formula_sum 'K1 V1 Tc2 H1'
_cell_length_a 4.483
_cell_length_b 4.483
_cell_length_c 4.225
_cell_angle_alpha 90.00
_cell_angle_beta 90.00
_cell_angle_gamma 90.00
_space_group_name_H-M_alt 'P 4/m m m'
_space_group_IT_number 123
_space_group_name_Hall '-P 4 2'
loop_
_atom_site_label
_atom_site_fract_x
_atom_site_fract_y
_atom_site_fract_z
K1 0.000 0.000 0.000
V1 0.000 0.000 0.500
Tc1 0.000 0.500 0.000
H1 0.500 0.500 0.500
# E_tot, eV per cell: -16.5
# M_tot, μB/atom: 0.000

***

Record 2
# LiYThW, relaxed, DFT PBE
data_LiYThW
_chemical_formula_sum 'Li4 Y4 Th4 W4'
_cell_length_a 7.132
_cell_length_b 7.132
_cell_length_c 7.132
_cell_angle_alpha 90.00
_cell_angle_beta 90.00
_cell_angle_gamma 90.00
_space_group_name_H-M_alt 'F -4 3 m'
_space_group_IT_number 216
_space_group_name_Hall 'F -4 2 3'
loop_
_atom_site_label
_atom_site_fract_x
_atom_site_fract_y
_atom_site_fract_z
Li1 0.000 0.000 0.000
Y1 0.250 0.250 0.750
Th1 0.250 0.250 0.250
W1 0.000 0.000 0.500
# E_tot, eV per cell: -111.2
# M_tot, μB/atom: 0.000

***

Record 3
# MnHgS2, relaxed, DFT PBE
data_MnHgS2
_chemical_formula_sum 'Mn4 Hg4 S8'
_cell_length_a 3.844
_cell_length_b 20.925
_cell_length_c 4.516
_cell_angle_alpha 90.00
_cell_angle_beta 90.00
_cell_angle_gamma 90.00
_space_group_name_H-M_alt 'C m c m'
_space_group_IT_number 63
_space_group_name_Hall '-C 2c 2'
loop_
_atom_site_label
_atom_site_fract_x
_atom_site_fract_y
_atom_site_fract_z
Mn1 0.000 0.063 0.250
Hg1 0.000 0.319 0.250
S1 0.000 0.049 0.750
S2 0.000 0.174 0.250
# ΔE_f (raw), meV/atom: -70
# M_tot, μB/atom: 1.022
# Energy relative to the lowest polymorph listed for this composition, meV per atom: 341.3

***

Record 4
# Sc2ReBr, relaxed, DFT PBE
data_Sc2ReBr
_chemical_formula_sum 'Sc2 Re1 Br1'
_cell_length_a 3.137
_cell_length_b 3.137
_cell_length_c 9.552
_cell_angle_alpha 90.00
_cell_angle_beta 90.00
_cell_angle_gamma 90.00
_space_group_name_H-M_alt 'P 4 m m'
_space_group_IT_number 99
_space_group_name_Hall 'P 4 -2'
loop_
_atom_site_label
_atom_site_fract_x
_atom_site_fract_y
_atom_site_fract_z
Sc1 0.000 0.000 0.000
Sc2 0.500 0.500 0.284
Re1 0.500 0.500 0.824
Br1 0.000 0.000 0.460
# ΔE_f (raw), meV/atom: 241
# M_tot, μB/atom: 0.525
# Energy relative to the lowest polymorph listed for this composition, meV per atom: 776.2

***

Record 5
# Pu3Pd3Pt, relaxed, DFT PBE
data_Pu3Pd3Pt
_chemical_formula_sum 'Pu6 Pd6 Pt2'
_cell_length_a 3.665
_cell_length_b 4.402
_cell_length_c 19.127
_cell_angle_alpha 90.00
_cell_angle_beta 90.00
_cell_angle_gamma 90.00
_space_group_name_H-M_alt 'I m m 2'
_space_group_IT_number 44
_space_group_name_Hall 'I 2 -2'
loop_
_atom_site_label
_atom_site_fract_x
_atom_site_fract_y
_atom_site_fract_z
Pu1 0.000 0.000 0.000
Pu2 0.000 0.000 0.379
Pu3 0.000 0.500 0.194
Pd1 0.000 0.000 0.536
Pd2 0.000 0.000 0.843
Pd3 0.000 0.500 0.620
Pt1 0.000 0.500 0.757
# M_tot, μB/atom: 0.806
# Energy relative to the lowest polymorph listed for this composition, meV per atom: 47.7

***

Record 6
# LaPr6Nd12, relaxed, DFT PBE
data_LaPr6Nd12
_chemical_formula_sum 'La3 Pr18 Nd36'
_cell_length_a 15.8345
_cell_length_b 15.8345
_cell_length_c 9.8777
_cell_angle_alpha 90.00
_cell_angle_beta 90.00
_cell_angle_gamma 120.00
_space_group_name_H-M_alt 'R -3 m'
_space_group_IT_number 166
_space_group_name_Hall '-R 3 2"'
loop_
_atom_site_label
_atom_site_fract_x
_atom_site_fract_y
_atom_site_fract_z
La1 0.0000 0.0000 0.0000
Pr1 0.0312 0.5156 0.1887
Nd1 0.0000 0.3933 0.5000
Nd2 0.0681 0.1362 0.3193
# M_tot, μB/atom: 0.000
# Energy relative to the lowest polymorph listed for this composition, meV per atom: 249.3

***

Record 7
# NdHo7Tm4, relaxed, DFT PBE
data_NdHo7Tm4
_chemical_formula_sum 'Nd1 Ho7 Tm4'
_cell_length_a 6.154
_cell_length_b 7.110
_cell_length_c 8.750
_cell_angle_alpha 89.95
_cell_angle_beta 76.32
_cell_angle_gamma 89.91
_space_group_name_H-M_alt 'P -1'
_space_group_IT_number 2
_space_group_name_Hall '-P 1'
loop_
_atom_site_label
_atom_site_fract_x
_atom_site_fract_y
_atom_site_fract_z
Nd1 0.000 0.000 0.000
Ho1 0.000 0.500 0.000
Ho2 0.222 0.000 0.335
Ho3 0.279 0.748 0.664
Ho4 0.500 0.252 0.000
Tm1 0.221 0.500 0.335
Tm2 0.279 0.251 0.665
# M_tot, μB/atom: 0.000
# Energy relative to the lowest polymorph listed for this composition, meV per atom: 0.0

***

Record 8
# AgGeBi, relaxed, DFT PBE
data_AgGeBi
_chemical_formula_sum 'Ag4 Ge4 Bi4'
_cell_length_a 6.734
_cell_length_b 6.734
_cell_length_c 6.734
_cell_angle_alpha 90.00
_cell_angle_beta 90.00
_cell_angle_gamma 90.00
_space_group_name_H-M_alt 'F -4 3 m'
_space_group_IT_number 216
_space_group_name_Hall 'F -4 2 3'
loop_
_atom_site_label
_atom_site_fract_x
_atom_site_fract_y
_atom_site_fract_z
Ag1 0.000 0.000 0.000
Ge1 0.250 0.250 0.250
Bi1 0.250 0.250 0.750
# M_tot, μB/atom: 0.000
# Energy relative to the lowest polymorph listed for this composition, meV per atom: 18.4

***

Record 9
# AcSc3Bi2, relaxed, DFT PBE
data_AcSc3Bi2
_chemical_formula_sum 'Ac4 Sc12 Bi8'
_cell_length_a 18.527
_cell_length_b 4.534
_cell_length_c 9.490
_cell_angle_alpha 90.00
_cell_angle_beta 116.59
_cell_angle_gamma 90.00
_space_group_name_H-M_alt 'C 1 2/m 1'
_space_group_IT_number 12
_space_group_name_Hall '-C 2y'
loop_
_atom_site_label
_atom_site_fract_x
_atom_site_fract_y
_atom_site_fract_z
Ac1 0.138 0.000 0.065
Sc1 0.058 0.000 0.414
Sc2 0.083 0.500 0.663
Sc3 0.190 0.500 0.467
Bi1 0.025 0.500 0.182
Bi2 0.209 0.000 0.735
# E_tot, eV per cell: -134.9
# M_tot, μB/atom: 0.135

***

Record 10
# VS4I, relaxed, DFT PBE
data_VS4I
_chemical_formula_sum 'V4 S16 I4'
_cell_length_a 6.723
_cell_length_b 6.723
_cell_length_c 11.698
_cell_angle_alpha 90.00
_cell_angle_beta 90.00
_cell_angle_gamma 90.00
_space_group_name_H-M_alt 'I 41/a'
_space_group_IT_number 88
loop_
_space_group_symop_operation_xyz
'x,y,z'
'-x,-y,-z'
'-y+3/4,x+1/4,z+1/4'
'y+3/4,-x+1/4,-z+1/4'
'-x+1/2,-y,z+1/2'
'x+1/2,y,-z+1/2'
'y+3/4,-x+3/4,z+3/4'
'-y+3/4,x+3/4,-z+3/4'
'x+1/2,y+1/2,z+1/2'
'-x+1/2,-y+1/2,-z+1/2'
'-y+1/4,x+3/4,z+3/4'
'y+1/4,-x+3/4,-z+3/4'
'-x,-y+1/2,z'
'x,y+1/2,-z'
'y+1/4,-x+1/4,z+1/4'
'-y+1/4,x+1/4,-z+1/4'
loop_
_atom_site_label
_atom_site_fract_x
_atom_site_fract_y
_atom_site_fract_z
V1 0.000 0.250 0.125
S1 0.131 0.455 0.953
I1 0.000 0.250 0.625
# ΔE_f (raw), meV/atom: -68
# M_tot, μB/atom: 0.068

***

Record 11
# AlSbOs2, relaxed, DFT PBE
data_AlSbOs2
_chemical_formula_sum 'Al1 Sb1 Os2'
_cell_length_a 3.146
_cell_length_b 3.146
_cell_length_c 6.269
_cell_angle_alpha 90.00
_cell_angle_beta 90.00
_cell_angle_gamma 90.00
_space_group_name_H-M_alt 'P 4/m m m'
_space_group_IT_number 123
_space_group_name_Hall '-P 4 2'
loop_
_atom_site_label
_atom_site_fract_x
_atom_site_fract_y
_atom_site_fract_z
Al1 0.000 0.000 0.000
Sb1 0.000 0.000 0.500
Os1 0.500 0.500 0.237
# ΔE_f (raw), meV/atom: 86
# M_tot, μB/atom: 0.000
# Energy relative to the lowest polymorph listed for this composition, meV per atom: 13.0

***

Record 12
# Ac2Si4GePt3, relaxed, DFT PBE
data_Ac2Si4GePt3
_chemical_formula_sum 'Ac2 Si4 Ge1 Pt3'
_cell_length_a 4.435
_cell_length_b 4.435
_cell_length_c 9.950
_cell_angle_alpha 90.00
_cell_angle_beta 90.00
_cell_angle_gamma 90.00
_space_group_name_H-M_alt 'P -4 m 2'
_space_group_IT_number 115
_space_group_name_Hall 'P -4 -2'
loop_
_atom_site_label
_atom_site_fract_x
_atom_site_fract_y
_atom_site_fract_z
Ac1 0.000 0.500 0.247
Si1 0.000 0.000 0.000
Si2 0.000 0.500 0.633
Si3 0.500 0.500 0.000
Ge1 0.000 0.000 0.500
Pt1 0.000 0.500 0.883
Pt2 0.500 0.500 0.500
# ΔE_f (raw), meV/atom: -926
# M_tot, μB/atom: 0.000

***

Record 13
# Tm4ScGa4, relaxed, DFT PBE
data_Tm4ScGa4
_chemical_formula_sum 'Tm8 Sc2 Ga8'
_cell_length_a 8.695
_cell_length_b 8.695
_cell_length_c 5.894
_cell_angle_alpha 90.00
_cell_angle_beta 90.00
_cell_angle_gamma 90.00
_space_group_name_H-M_alt 'P 42/n'
_space_group_IT_number 86
loop_
_space_group_symop_operation_xyz
'x,y,z'
'-x,-y,-z'
'-y,x+1/2,z+1/2'
'y,-x+1/2,-z+1/2'
'-x+1/2,-y+1/2,z'
'x+1/2,y+1/2,-z'
'y+1/2,-x,z+1/2'
'-y+1/2,x,-z+1/2'
loop_
_atom_site_label
_atom_site_fract_x
_atom_site_fract_y
_atom_site_fract_z
Tm1 0.053 0.666 0.128
Sc1 0.250 0.250 0.250
Ga1 0.015 0.628 0.614
# E_tot, eV per cell: -79.2
# M_tot, μB/atom: 0.000

***

Record 14
# Cu2Ir, relaxed, DFT PBE
data_Cu2Ir
_chemical_formula_sum 'Cu4 Ir2'
_cell_length_a 4.2470
_cell_length_b 4.2470
_cell_length_c 5.0689
_cell_angle_alpha 90.00
_cell_angle_beta 90.00
_cell_angle_gamma 120.00
_space_group_name_H-M_alt 'P 63/m m c'
_space_group_IT_number 194
_space_group_name_Hall '-P 6c 2c'
loop_
_atom_site_label
_atom_site_fract_x
_atom_site_fract_y
_atom_site_fract_z
Cu1 0.0000 0.0000 0.0000
Cu2 0.3333 0.6667 0.2500
Ir1 0.3333 0.6667 0.7500
# M_tot, μB/atom: 0.000
# Energy relative to the lowest polymorph listed for this composition, meV per atom: 290.0

***

Record 15
# Pm3Ge2O, relaxed, DFT PBE
data_Pm3Ge2O
_chemical_formula_sum 'Pm12 Ge8 O4'
_cell_length_a 8.725
_cell_length_b 4.057
_cell_length_c 16.995
_cell_angle_alpha 90.00
_cell_angle_beta 90.00
_cell_angle_gamma 90.00
_space_group_name_H-M_alt 'P n m a'
_space_group_IT_number 62
_space_group_name_Hall '-P 2ac 2n'
loop_
_atom_site_label
_atom_site_fract_x
_atom_site_fract_y
_atom_site_fract_z
Pm1 0.005 0.250 0.106
Pm2 0.137 0.250 0.576
Pm3 0.172 0.750 0.269
Ge1 0.084 0.750 0.718
Ge2 0.245 0.750 0.457
O1 0.125 0.750 0.134
# ΔE_f (raw), meV/atom: -1460
# M_tot, μB/atom: 0.000
# Energy relative to the lowest polymorph listed for this composition, meV per atom: 0.0

***

Record 16
# HfTl2SnN, relaxed, DFT PBE
data_HfTl2SnN
_chemical_formula_sum 'Hf1 Tl2 Sn1 N1'
_cell_length_a 5.780
_cell_length_b 5.780
_cell_length_c 5.520
_cell_angle_alpha 90.00
_cell_angle_beta 90.00
_cell_angle_gamma 90.00
_space_group_name_H-M_alt 'P 4/m m m'
_space_group_IT_number 123
_space_group_name_Hall '-P 4 2'
loop_
_atom_site_label
_atom_site_fract_x
_atom_site_fract_y
_atom_site_fract_z
Hf1 0.000 0.000 0.000
Tl1 0.000 0.500 0.000
Sn1 0.000 0.000 0.500
N1 0.500 0.500 0.500
# ΔE_f (raw), meV/atom: 1448
# M_tot, μB/atom: 0.577

***

Record 17
# NaCd8Ni4, relaxed, DFT PBE
data_NaCd8Ni4
_chemical_formula_sum 'Na2 Cd16 Ni8'
_cell_length_a 9.324
_cell_length_b 9.324
_cell_length_c 5.543
_cell_angle_alpha 90.00
_cell_angle_beta 90.00
_cell_angle_gamma 90.00
_space_group_name_H-M_alt 'I 4/m m m'
_space_group_IT_number 139
_space_group_name_Hall '-I 4 2'
loop_
_atom_site_label
_atom_site_fract_x
_atom_site_fract_y
_atom_site_fract_z
Na1 0.000 0.000 0.000
Cd1 0.000 0.223 0.500
Cd2 0.000 0.322 0.000
Ni1 0.250 0.250 0.250
# E_tot, eV per cell: -64.2
# M_tot, μB/atom: 0.000

***

Record 18
# RbAgRu3, relaxed, DFT PBE
data_RbAgRu3
_chemical_formula_sum 'Rb1 Ag1 Ru3'
_cell_length_a 4.774
_cell_length_b 4.774
_cell_length_c 4.774
_cell_angle_alpha 90.00
_cell_angle_beta 90.00
_cell_angle_gamma 90.00
_space_group_name_H-M_alt 'P m -3 m'
_space_group_IT_number 221
_space_group_name_Hall '-P 4 2 3'
loop_
_atom_site_label
_atom_site_fract_x
_atom_site_fract_y
_atom_site_fract_z
Rb1 0.000 0.000 0.000
Ag1 0.500 0.500 0.500
Ru1 0.000 0.000 0.500
# M_tot, μB/atom: 0.971
# Energy relative to the lowest polymorph listed for this composition, meV per atom: 809.2